# BiP2RuCl (PBE-GGA, optimized geometry)
data_BiP2RuCl
_cell_length_a 4.618
_cell_length_b 4.618
_cell_length_c 4.918
_cell_angle_alpha 90.00
_cell_angle_beta 90.00
_cell_angle_gamma 90.00
_space_group_name_H-M_alt 'P 4/m m m'
_space_group_IT_number 123
_space_group_name_Hall '-P 4 2'
loop_
_atom_site_label
_atom_site_type_symbol
_atom_site_fract_x
_atom_site_fract_y
_atom_site_fract_z
Bi1 Bi 0.000 0.000 0.000
P1 P 0.000 0.500 0.500
Ru1 Ru 0.500 0.500 0.500
Cl1 Cl 0.500 0.500 0.000
# ΔE_f (raw) in kJ per mole of atoms: 30.8
# Total moment in μB per formula unit: 0.00
# Energy above the most stable polymorph in this dataset in meV per atom: 0